VASP calculation (PBE) on a relaxed RePtSe2Br crystal.

Lattice parameters (Å, degrees): 4.738 4.738 5.308 90.00 90.00 90.00
Positions (direct):
1 Re 0.000 0.000 0.000
2 Se 0.000 0.500 0.000
3 Se 0.500 0.000 0.000
4 Br 0.000 0.000 0.500
5 Pt 0.500 0.500 0.500

Results
- DOS(E_F) (states/eV per atom) = 1.593
- formation energy without anion corrections (eV per atom) = 0.969